TbOs2 | PBEsol | relaxed

Output
Formation enthalpy at 0 K in meV per atom: -277
Size of the total moment in μB per formula unit: 0.0
D(E_F) in states/eV per cell: 12.53

a = 5.251 Å, b = 5.251 Å, c = 8.831 Å
α = 90.00°, β = 90.00°, γ = 120.00°
Fractional positions:
Tb 0.333 0.667 0.065
Tb 0.333 0.667 0.435
Tb 0.667 0.333 0.565
Tb 0.667 0.333 0.935
Os 0.000 0.000 0.000
Os 0.000 0.000 0.500
Os 0.171 0.342 0.750
Os 0.171 0.829 0.750
Os 0.342 0.171 0.250
Os 0.658 0.829 0.750
Os 0.829 0.171 0.250
Os 0.829 0.658 0.250